Computed, not measured: a geometry-optimized Tb3Ti structure at the GGA-PBE level of DFT.

Final energy = -5.093 eV/atom
Magnetic moment = 0.000 μB per formula unit
Formation enthalpy at 0 K = 353 meV/atom

Lattice parameters (Å, degrees): 3.288 3.312 10.577 90.00 90.00 90.00
Space group Pmm2 (No. 25)
Unique sites:
Tb (0.000, 0.000, 0.000) (multiplicity 1)
Tb (0.000, 0.500, 0.300) (multiplicity 1)
Tb (0.500, 0.500, 0.748) (multiplicity 1)
Ti (0.500, 0.000, 0.498) (multiplicity 1)


Computed, not measured: a geometry-optimized KLaRh structure at the GGA-PBE level of DFT.

Final energy = -4.316 eV/atom
ΔE to the lowest computed polymorph = 242.3 meV per atom
Magnetic moment = 0.004 μB per formula unit
Formation enthalpy at 0 K = 143 meV/atom

Lattice parameters (Å, degrees): 7.139 7.139 7.139 90.00 90.00 90.00
Space group F-43m (No. 216)
Unique sites:
K (0.000, 0.000, 0.000) (multiplicity 4)
La (0.000, 0.000, 0.500) (multiplicity 4)
Rh (0.250, 0.250, 0.750) (multiplicity 4)


Computed, not measured: a geometry-optimized CsHPdF6 structure at the GGA-PBE level of DFT.

Final energy = -4.025 eV/atom
Magnetic moment = 0.000 μB per formula unit

Lattice parameters (Å, degrees): 5.241 5.277 6.387 89.98 89.85 70.53
Space group P1 (No. 1)
Unique sites:
Cs (0.000, 0.000, 0.000) (multiplicity 1)
H (0.778, 0.309, 0.500) (multiplicity 1)
Pd (0.289, 0.294, 0.500) (multiplicity 1)
F (0.087, 0.531, 0.280) (multiplicity 1)
F (0.088, 0.531, 0.720) (multiplicity 1)
F (0.485, 0.052, 0.279) (multiplicity 1)
F (0.486, 0.053, 0.719) (multiplicity 1)
F (0.575, 0.464, 0.498) (multiplicity 1)
F (0.998, 0.134, 0.501) (multiplicity 1)


Computed, not measured: a geometry-optimized Sm10TmSc4 structure at the GGA-PBE level of DFT.

Final energy = -4.591 eV/atom
Magnetic moment = 0.000 μB per formula unit
Formation enthalpy at 0 K = 542 meV/atom

Lattice parameters (Å, degrees): 11.008 11.008 8.432 90.00 90.00 90.00
Space group I4/m (No. 87)
Unique sites:
Sm (0.000, 0.500, 0.250) (multiplicity 4)
Sm (0.116, 0.224, 0.190) (multiplicity 16)
Tm (0.000, 0.000, 0.000) (multiplicity 2)
Sc (0.062, 0.783, 0.500) (multiplicity 8)


Computed, not measured: a geometry-optimized KSi5 structure at the GGA-PBE level of DFT.

Final energy = -4.350 eV/atom
ΔE to the lowest computed polymorph = 88.9 meV per atom
Magnetic moment = 0.000 μB per formula unit
E_form (uncorrected) = 352 meV per atom

Lattice parameters (Å, degrees): 6.0667 6.0667 3.6720 90.00 90.00 120.00
Space group P6/mmm (No. 191)
Unique sites:
K (0.0000, 0.0000, 0.0000) (multiplicity 1)
Si (0.0000, 0.5000, 0.5000) (multiplicity 3)
Si (0.3333, 0.6667, 0.0000) (multiplicity 2)


Computed, not measured: a geometry-optimized LaPr4Zn structure at the GGA-PBE level of DFT.

Final energy = -4.234 eV/atom
ΔE to the lowest computed polymorph = 81.5 meV per atom
Magnetic moment = 0.000 μB per formula unit
Formation enthalpy at 0 K = -14 meV/atom

Lattice parameters (Å, degrees): 9.227 13.910 6.523 90.00 109.12 90.00
Space group C2/c (No. 15)
Unique sites:
La (0.000, 0.097, 0.250) (multiplicity 4)
Pr (0.104, 0.320, 0.553) (multiplicity 8)
Pr (0.224, 0.108, 0.870) (multiplicity 8)
Zn (0.000, 0.499, 0.250) (multiplicity 4)


Per-record ρ, g/cm3: 7.56 5.13 3.53 6.02 2.55 6.45
Per-record calculated volume, Å³ per cell: 115.2 363.9 166.5 1021.7 117.0 791.1